#one
Density functional theory data (PBE) for PmYBi after structural relaxation.

Unit cell a=10.206 b=10.206 c=10.206 alpha=29.06 beta=29.06 gamma=29.06
Fractional positions:
Pm  0.197  0.197  0.197
Pm  0.803  0.803  0.803
Y  0.061  0.061  0.061
Y  0.939  0.939  0.939
Bi  0.422  0.422  0.422
Bi  0.578  0.578  0.578


#two
Density functional theory data (PBE) for PmYBi after structural relaxation.

Unit cell a=5.231 b=5.231 c=5.231 alpha=60.00 beta=60.00 gamma=60.00
Fractional positions:
Pm  0.000  0.000  0.000
Y  0.500  0.500  0.500
Bi  0.250  0.250  0.250


Short version: #two, #one, most stable first.


#one
Density functional theory data (PBE) for PrBi after structural relaxation.

Unit cell a=6.743 b=6.264 c=6.315 alpha=90.00 beta=90.00 gamma=90.00
Fractional positions:
Pr  0.000  0.000  0.000
Pr  0.250  0.500  0.311
Pr  0.500  0.000  0.000
Pr  0.750  0.500  0.689
Bi  0.250  0.000  0.487
Bi  0.250  0.500  0.817
Bi  0.750  0.000  0.513
Bi  0.750  0.500  0.183


#two
Density functional theory data (PBE) for PrBi after structural relaxation.

Unit cell a=3.993 b=3.993 c=3.993 alpha=90.00 beta=90.00 gamma=90.00
Fractional positions:
Pr  0.000  0.000  0.000
Bi  0.500  0.500  0.500


Short version: #two, #one, most stable first.


#one
Density functional theory data (PBE) for PrBi after structural relaxation.

Unit cell a=4.246 b=4.246 c=3.488 alpha=90.00 beta=90.00 gamma=90.00
Fractional positions:
Pr  0.000  0.000  0.000
Bi  0.500  0.500  0.500


#two
Density functional theory data (PBE) for PrBi after structural relaxation.

Unit cell a=5.150 b=5.150 c=5.150 alpha=60.00 beta=60.00 gamma=60.00
Fractional positions:
Pr  0.000  0.000  0.000
Bi  0.250  0.250  0.250


Short version: #one, #two, most stable first.


#one
Density functional theory data (PBE) for BiPt10 after structural relaxation.

Unit cell a=2.899 b=2.899 c=36.911 alpha=90.00 beta=90.00 gamma=120.00
Fractional positions:
Bi  0.000  0.000  0.000
Pt  0.000  0.000  0.187
Pt  0.000  0.000  0.366
Pt  0.000  0.000  0.545
Pt  0.333  0.667  0.127
Pt  0.333  0.667  0.306
Pt  0.333  0.667  0.486
Pt  0.667  0.333  0.065
Pt  0.667  0.333  0.246
Pt  0.667  0.333  0.426
Pt  0.667  0.333  0.606


#two
Density functional theory data (PBE) for BiPt10 after structural relaxation.

Unit cell a=4.518 b=3.200 c=36.065 alpha=90.00 beta=91.65 gamma=90.00
Fractional positions:
Bi  0.204  0.250  0.180
Bi  0.796  0.750  0.820
Pt  0.017  0.250  0.621
Pt  0.103  0.250  0.318
Pt  0.135  0.750  0.561
Pt  0.206  0.750  0.252
Pt  0.250  0.250  0.500
Pt  0.292  0.250  0.799
Pt  0.294  0.750  0.739
Pt  0.365  0.750  0.440
Pt  0.405  0.250  0.681
Pt  0.481  0.250  0.379
Pt  0.519  0.750  0.621
Pt  0.595  0.750  0.319
Pt  0.635  0.250  0.560
Pt  0.706  0.250  0.261
Pt  0.708  0.750  0.201
Pt  0.750  0.750  0.500
Pt  0.794  0.250  0.748
Pt  0.865  0.250  0.439
Pt  0.897  0.750  0.682
Pt  0.983  0.750  0.379


#three
Density functional theory data (PBE) for BiPt10 after structural relaxation.

Unit cell a=4.815 b=4.815 c=33.818 alpha=90.09 beta=90.09 gamma=48.60
Fractional positions:
Bi  0.154  0.154  0.284
Bi  0.846  0.846  0.716
Pt  0.049  0.049  0.093
Pt  0.051  0.051  0.828
Pt  0.150  0.150  0.013
Pt  0.150  0.150  0.747
Pt  0.249  0.249  0.199
Pt  0.250  0.250  0.934
Pt  0.348  0.348  0.119
Pt  0.353  0.353  0.854
Pt  0.450  0.450  0.040
Pt  0.454  0.454  0.773
Pt  0.546  0.546  0.227
Pt  0.550  0.550  0.960
Pt  0.647  0.647  0.146
Pt  0.652  0.652  0.881
Pt  0.750  0.750  0.066
Pt  0.751  0.751  0.801
Pt  0.850  0.850  0.253
Pt  0.850  0.850  0.987
Pt  0.949  0.949  0.172
Pt  0.951  0.951  0.907


Short version: #three, #two, #one, most stable first.


#one
Density functional theory data (PBE) for Bi2Pt7 after structural relaxation.

Unit cell a=5.406 b=5.406 c=26.991 alpha=90.00 beta=90.00 gamma=120.00
Fractional positions:
Bi  0.333  0.667  0.034
Bi  0.333  0.667  0.177
Bi  0.333  0.667  0.323
Bi  0.333  0.667  0.466
Bi  0.667  0.333  0.534
Bi  0.667  0.333  0.677
Bi  0.667  0.333  0.823
Bi  0.667  0.333  0.966
Pt  0.000  0.000  0.000
Pt  0.000  0.000  0.167
Pt  0.000  0.000  0.333
Pt  0.000  0.000  0.500
Pt  0.000  0.000  0.667
Pt  0.000  0.000  0.833
Pt  0.167  0.333  0.750
Pt  0.167  0.833  0.750
Pt  0.168  0.336  0.582
Pt  0.168  0.336  0.918
Pt  0.168  0.832  0.582
Pt  0.168  0.832  0.918
Pt  0.333  0.167  0.250
Pt  0.333  0.667  0.667
Pt  0.333  0.667  0.833
Pt  0.336  0.168  0.082
Pt  0.336  0.168  0.418
Pt  0.664  0.832  0.582
Pt  0.664  0.832  0.918
Pt  0.667  0.333  0.167
Pt  0.667  0.333  0.333
Pt  0.667  0.833  0.750
Pt  0.832  0.168  0.082
Pt  0.832  0.168  0.418
Pt  0.832  0.664  0.082
Pt  0.832  0.664  0.418
Pt  0.833  0.167  0.250
Pt  0.833  0.667  0.250


#two
Density functional theory data (PBE) for Bi2Pt7 after structural relaxation.

Unit cell a=3.047 b=3.047 c=30.647 alpha=90.00 beta=90.00 gamma=120.00
Fractional positions:
Bi  0.333  0.667  0.218
Bi  0.667  0.333  0.782
Pt  0.000  0.000  0.293
Pt  0.000  0.000  0.500
Pt  0.000  0.000  0.707
Pt  0.333  0.667  0.432
Pt  0.333  0.667  0.637
Pt  0.667  0.333  0.363
Pt  0.667  0.333  0.568


Short version: #one, #two, most stable first.


#one
Density functional theory data (PBE) for BiPt15 after structural relaxation.

Unit cell a=2.846 b=2.846 c=43.997 alpha=90.00 beta=90.00 gamma=90.00
Fractional positions:
Bi  0.000  0.000  0.000
Pt  0.000  0.000  0.097
Pt  0.000  0.000  0.185
Pt  0.000  0.000  0.273
Pt  0.000  0.000  0.361
Pt  0.000  0.000  0.449
Pt  0.000  0.000  0.537
Pt  0.000  0.000  0.625
Pt  0.500  0.500  0.051
Pt  0.500  0.500  0.141
Pt  0.500  0.500  0.229
Pt  0.500  0.500  0.317
Pt  0.500  0.500  0.405
Pt  0.500  0.500  0.493
Pt  0.500  0.500  0.582
Pt  0.500  0.500  0.668


#two
Density functional theory data (PBE) for BiPt15 after structural relaxation.

Unit cell a=5.590 b=3.972 c=36.296 alpha=90.00 beta=90.02 gamma=90.00
Fractional positions:
Bi  0.125  0.250  0.299
Bi  0.875  0.750  0.701
Pt  0.122  0.250  0.746
Pt  0.122  0.250  0.826
Pt  0.124  0.250  0.904
Pt  0.125  0.250  0.057
Pt  0.125  0.250  0.135
Pt  0.125  0.250  0.214
Pt  0.125  0.250  0.980
Pt  0.372  0.750  0.174
Pt  0.372  0.750  0.254
Pt  0.374  0.750  0.096
Pt  0.375  0.750  0.019
Pt  0.375  0.750  0.714
Pt  0.375  0.750  0.789
Pt  0.375  0.750  0.865
Pt  0.375  0.750  0.942
Pt  0.625  0.250  0.058
Pt  0.625  0.250  0.135
Pt  0.625  0.250  0.211
Pt  0.625  0.250  0.286
Pt  0.625  0.250  0.981
Pt  0.626  0.250  0.904
Pt  0.628  0.250  0.746
Pt  0.628  0.250  0.826
Pt  0.875  0.750  0.020
Pt  0.875  0.750  0.786
Pt  0.875  0.750  0.865
Pt  0.875  0.750  0.943
Pt  0.876  0.750  0.096
Pt  0.878  0.750  0.174
Pt  0.878  0.750  0.254


#three
Density functional theory data (PBE) for BiPt15 after structural relaxation.

Unit cell a=7.843 b=2.841 c=36.184 alpha=90.00 beta=90.05 gamma=90.00
Fractional positions:
Bi  0.125  0.250  0.300
Bi  0.875  0.750  0.700
Pt  0.115  0.250  0.745
Pt  0.120  0.250  0.826
Pt  0.124  0.250  0.904
Pt  0.125  0.250  0.214
Pt  0.126  0.250  0.057
Pt  0.126  0.250  0.135
Pt  0.126  0.250  0.980
Pt  0.364  0.750  0.255
Pt  0.370  0.750  0.175
Pt  0.374  0.750  0.097
Pt  0.374  0.750  0.789
Pt  0.375  0.750  0.715
Pt  0.375  0.750  0.864
Pt  0.376  0.750  0.019
Pt  0.376  0.750  0.941
Pt  0.624  0.250  0.059
Pt  0.624  0.250  0.981
Pt  0.625  0.250  0.136
Pt  0.625  0.250  0.285
Pt  0.626  0.250  0.211
Pt  0.626  0.250  0.903
Pt  0.630  0.250  0.825
Pt  0.636  0.250  0.745
Pt  0.874  0.750  0.020
Pt  0.874  0.750  0.865
Pt  0.874  0.750  0.943
Pt  0.875  0.750  0.786
Pt  0.876  0.750  0.096
Pt  0.880  0.750  0.174
Pt  0.885  0.750  0.255


#four
Density functional theory data (PBE) for BiPt15 after structural relaxation.

Unit cell a=2.842 b=3.933 c=35.903 alpha=90.00 beta=90.00 gamma=90.00
Fractional positions:
Bi  0.000  0.000  0.000
Pt  0.000  0.000  0.445
Pt  0.000  0.000  0.525
Pt  0.000  0.000  0.603
Pt  0.000  0.000  0.680
Pt  0.000  0.000  0.758
Pt  0.000  0.000  0.836
Pt  0.000  0.000  0.914
Pt  0.500  0.500  0.412
Pt  0.500  0.500  0.487
Pt  0.500  0.500  0.564
Pt  0.500  0.500  0.641
Pt  0.500  0.500  0.719
Pt  0.500  0.500  0.797
Pt  0.500  0.500  0.875
Pt  0.500  0.500  0.956


Short version: #two, #three, #four, #one, most stable first.